# Sr2LiMo2, relaxed, DFT PBE
data_Sr2LiMo2
_cell_length_a 9.481
_cell_length_b 9.481
_cell_length_c 3.214
_cell_angle_alpha 90.00
_cell_angle_beta 90.00
_cell_angle_gamma 90.00
_symmetry_space_group_name_H-M 'P 1'
_symmetry_Int_Tables_number 1
loop_
_symmetry_equiv_pos_as_xyz
'x,y,z'
loop_
_atom_site_label
_atom_site_fract_x
_atom_site_fract_y
_atom_site_fract_z
Sr1 0.204 0.296 0.000
Sr2 0.296 0.796 0.000
Sr3 0.704 0.204 0.000
Sr4 0.796 0.704 0.000
Li1 0.000 0.000 0.000
Li2 0.500 0.500 0.000
Mo1 0.081 0.581 0.500
Mo2 0.419 0.081 0.500
Mo3 0.581 0.919 0.500
Mo4 0.919 0.419 0.500
# DOS at the Fermi energy: 8.351 states/eV/cell
# offset from the most stable computed form: 269 meV per atom
# symmetry: P4/mbm, No. 127
# formation enthalpy at 0 K: 881 meV/atom

# Sr2LiMo, relaxed, DFT PBE
data_Sr2LiMo
_cell_length_a 6.462
_cell_length_b 6.462
_cell_length_c 5.718
_cell_angle_alpha 108.79
_cell_angle_beta 108.79
_cell_angle_gamma 33.73
_symmetry_space_group_name_H-M 'P 1'
_symmetry_Int_Tables_number 1
loop_
_symmetry_equiv_pos_as_xyz
'x,y,z'
loop_
_atom_site_label
_atom_site_fract_x
_atom_site_fract_y
_atom_site_fract_z
Sr1 0.000 0.000 0.000
Sr2 0.208 0.208 0.656
Li1 0.426 0.426 0.421
Mo1 0.747 0.747 0.180
# DOS at the Fermi energy: 4.339 states/eV/cell
# offset from the most stable computed form: 45 meV per atom
# symmetry: Cm, No. 8
# formation enthalpy at 0 K: 776 meV/atom

# SrLiMo2, relaxed, DFT PBE
data_SrLiMo2
_cell_length_a 2.727
_cell_length_b 2.727
_cell_length_c 10.188
_cell_angle_alpha 90.00
_cell_angle_beta 90.00
_cell_angle_gamma 98.26
_symmetry_space_group_name_H-M 'P 1'
_symmetry_Int_Tables_number 1
loop_
_symmetry_equiv_pos_as_xyz
'x,y,z'
loop_
_atom_site_label
_atom_site_fract_x
_atom_site_fract_y
_atom_site_fract_z
Sr1 0.000 0.000 0.000
Li1 0.000 0.000 0.500
Mo1 0.500 0.500 0.274
Mo2 0.500 0.500 0.726
# DOS at the Fermi energy: 2.715 states/eV/cell
# offset from the most stable computed form: 435 meV per atom
# symmetry: Cmmm, No. 65
# formation enthalpy at 0 K: 937 meV/atom